Record 1
GGA-PBE PRuBr2, relaxed; ΔE_f (raw) = 0.023 eV per atom; excess energy over the best structure of this formula in the dataset = 263 meV per atom
1.0
3.3945 0.0000 0.0000
0.0000 3.3945 0.0000
0.0000 0.0000 8.1873
P Ru Br
1 1 2
Cartesian
0.0000 0.0000 0.0000
1.6972 1.6972 7.7833
0.0000 0.0000 2.2605
1.6972 1.6972 5.3675

***

Record 2
GGA-PBE PRuBr2, relaxed; ΔE_f (raw) = -0.051 eV per atom; excess energy over the best structure of this formula in the dataset = 188 meV per atom
1.0
5.0462 0.0000 0.0000
0.0000 3.5444 0.0000
-2.2268 0.0000 4.9834
P Ru Br
1 1 2
Cartesian
0.0000 0.0000 0.0000
-0.0091 1.7722 1.3142
0.0321 0.0000 3.4814
2.5109 1.7722 1.8285

***

Record 3
GGA-PBE PRuBr2, relaxed; ΔE_f (raw) = 0.861 eV per atom; excess energy over the best structure of this formula in the dataset = 1101 meV per atom
1.0
0.0000 3.3317 4.5061
2.5671 0.0000 4.5061
2.5671 3.3317 0.0000
P Ru Br
1 1 2
Cartesian
0.0000 0.0000 0.0000
2.5671 3.3317 4.5061
2.5671 1.6658 2.2530
0.0000 1.6658 2.2530